# Pm4SbBr5 GGA-PBE optimized geometry
data_Pm4SbBr5
_chemical_formula_sum 'Pm8 Sb2 Br10'
_space_group_name_H-M_alt 'P m m n'
_space_group_IT_number 59
_cell_length_a 9.228
_cell_length_b 10.380
_cell_length_c 6.943
_cell_angle_alpha 90.00
_cell_angle_beta 90.00
_cell_angle_gamma 90.00
loop_
_space_group_symop_operation_xyz
'x,y,z'
'-x,-y,-z'
'-x+1/2,-y+1/2,z'
'x+1/2,y+1/2,-z'
'x+1/2,-y,-z'
'-x+1/2,y,z'
'-x,y+1/2,-z'
'x,-y+1/2,z'
loop_
_atom_site_label
_atom_site_type_symbol
_atom_site_fract_x
_atom_site_fract_y
_atom_site_fract_z
_atom_site_occupancy
Pm1 Pm 0.051 0.250 0.017 1
Pm2 Pm 0.250 0.019 0.630 1
Sb1 Sb 0.250 0.750 0.781 1
Br1 Br 0.053 0.552 0.255 1
Br2 Br 0.250 0.250 0.354 1
# **Formation energy from raw total energies**: -29.74 kcal/mol of atoms
# **Uncorrected energy**: -88.8 eV per cell
# **Relative energy among the computed polymorphs**: 1.82 eV/f.u.


# Pm2SbBr GGA-PBE optimized geometry
data_Pm2SbBr
_chemical_formula_sum 'Pm6 Sb3 Br3'
_space_group_name_H-M_alt 'R -3 m'
_space_group_IT_number 166
_space_group_name_Hall '-R 3 2"'
_cell_length_a 4.6746
_cell_length_b 4.6746
_cell_length_c 26.1640
_cell_angle_alpha 90.00
_cell_angle_beta 90.00
_cell_angle_gamma 120.00
loop_
_atom_site_label
_atom_site_type_symbol
_atom_site_fract_x
_atom_site_fract_y
_atom_site_fract_z
_atom_site_occupancy
Pm1 Pm 0.0000 0.0000 0.1105 1
Sb1 Sb 0.0000 0.0000 0.5000 1
Br1 Br 0.0000 0.0000 0.0000 1
# **Formation energy from raw total energies**: -23.05 kcal/mol of atoms
# **Uncorrected energy**: -57.9 eV per cell
# **Relative energy among the computed polymorphs**: 0.51 eV/f.u.


# Pm2SbBr GGA-PBE optimized geometry
data_Pm2SbBr
_chemical_formula_sum 'Pm2 Sb1 Br1'
_space_group_name_H-M_alt 'P 4/m m m'
_space_group_IT_number 123
_space_group_name_Hall '-P 4 2'
_cell_length_a 3.833
_cell_length_b 3.833
_cell_length_c 7.618
_cell_angle_alpha 90.00
_cell_angle_beta 90.00
_cell_angle_gamma 90.00
loop_
_atom_site_label
_atom_site_type_symbol
_atom_site_fract_x
_atom_site_fract_y
_atom_site_fract_z
_atom_site_occupancy
Pm1 Pm 0.000 0.000 0.232 1
Sb1 Sb 0.500 0.500 0.000 1
Br1 Br 0.500 0.500 0.500 1
# **Formation energy from raw total energies**: -23.51 kcal/mol of atoms
# **Uncorrected energy**: -19.4 eV per cell
# **Relative energy among the computed polymorphs**: 0.43 eV/f.u.


# Pm3Sb2Br GGA-PBE optimized geometry
data_Pm3Sb2Br
_chemical_formula_sum 'Pm48 Sb32 Br16'
_space_group_name_H-M_alt 'F d d d'
_space_group_IT_number 70
_cell_length_a 8.957
_cell_length_b 12.585
_cell_length_c 26.743
_cell_angle_alpha 90.00
_cell_angle_beta 90.00
_cell_angle_gamma 90.00
loop_
_space_group_symop_operation_xyz
'x,y,z'
'-x,-y,-z'
'-x+1/4,-y+1/4,z'
'x+1/4,y+1/4,-z'
'x,-y+1/4,-z+1/4'
'-x,y+1/4,z+1/4'
'-x+1/4,y,-z+1/4'
'x+1/4,-y,z+1/4'
'x,y+1/2,z+1/2'
'-x,-y+1/2,-z+1/2'
'-x+1/4,-y+3/4,z+1/2'
'x+1/4,y+3/4,-z+1/2'
'x,-y+3/4,-z+3/4'
'-x,y+3/4,z+3/4'
'-x+1/4,y+1/2,-z+3/4'
'x+1/4,-y+1/2,z+3/4'
'x+1/2,y,z+1/2'
'-x+1/2,-y,-z+1/2'
'-x+3/4,-y+1/4,z+1/2'
'x+3/4,y+1/4,-z+1/2'
'x+1/2,-y+1/4,-z+3/4'
'-x+1/2,y+1/4,z+3/4'
'-x+3/4,y,-z+3/4'
'x+3/4,-y,z+3/4'
'x+1/2,y+1/2,z'
'-x+1/2,-y+1/2,-z'
'-x+3/4,-y+3/4,z'
'x+3/4,y+3/4,-z'
'x+1/2,-y+3/4,-z+1/4'
'-x+1/2,y+3/4,z+1/4'
'-x+3/4,y+1/2,-z+1/4'
'x+3/4,-y+1/2,z+1/4'
loop_
_atom_site_label
_atom_site_type_symbol
_atom_site_fract_x
_atom_site_fract_y
_atom_site_fract_z
_atom_site_occupancy
Pm1 Pm 0.107 0.375 0.375 1
Pm2 Pm 0.115 0.368 0.205 1
Sb1 Sb 0.125 0.125 0.040 1
Sb2 Sb 0.125 0.125 0.378 1
Br1 Br 0.125 0.125 0.543 1
# **Formation energy from raw total energies**: -27.65 kcal/mol of atoms
# **Uncorrected energy**: -501.8 eV per cell